1.
DFT (PBE-GGA) results for Ac2CuAg after structural relaxation.

Cell: 4.838 4.310 6.180 Å, 110.41 90.00 90.00°
Element x y z (fractional)
Cu1 0.500 0.556 0.113
Ag1 0.000 0.692 0.384
Ac1 0.000 0.983 0.966
Ac2 0.500 0.268 0.535

## Properties
formation energy from the elements = -0.19 eV per atom
space group = Amm2
spin magnetization = 0.000 μB per cell

***

2.
DFT (PBE-GGA) results for PmSmHo4 after structural relaxation.

Cell: 6.596 6.596 6.596 Å, 60.00 60.00 60.00°
Each line ends with the local moment (μB).
Element x y z (fractional)
Sm1 0.000 0.000 0.000  0.20
Ho1 0.625 0.125 0.625  0.09
Ho2 0.125 0.625 0.625  0.09
Ho3 0.625 0.625 0.625  0.09
Ho4 0.625 0.625 0.125  0.09
Pm1 0.250 0.250 0.250  0.28

## Properties
formation energy from the elements = 0.29 eV per atom
space group = F-43m
E above lowest polymorph = 0.267 eV per atom
spin magnetization = 1.618 μB per cell